Record 1
Below is Mg2GaCu2 after structural relaxation, with properties calculated at the GGA-PBEsol level.

energy of formation	-0.110	eV/atom
crystal system	tetragonal
total DFT energy (no corrections)	-32.0	eV for the cell shown

```
data_Mg2GaCu2
_chemical_formula_sum 'Mg4 Ga2 Cu4'
_cell_length_a 6.3512
_cell_length_b 6.3512
_cell_length_c 3.9266
_cell_angle_alpha 90.00
_cell_angle_beta 90.00
_cell_angle_gamma 90.00
_space_group_name_H-M_alt 'P 1'
_space_group_IT_number 1
loop_
_space_group_symop_operation_xyz
'x,y,z'
loop_
_atom_site_label
_atom_site_fract_x
_atom_site_fract_y
_atom_site_fract_z
Mg1 0.1671 0.3329 0.0000
Mg2 0.3329 0.8329 0.0000
Mg3 0.6671 0.1671 0.0000
Mg4 0.8329 0.6671 0.0000
Ga1 0.0000 0.0000 0.5000
Ga2 0.5000 0.5000 0.5000
Cu1 0.1359 0.6359 0.5000
Cu2 0.3641 0.1359 0.5000
Cu3 0.6359 0.8641 0.5000
Cu4 0.8641 0.3641 0.5000
```

---

Record 2
Below is Tb2Cl3 after structural relaxation, with properties calculated at the GGA-PBEsol level.

ΔE_f (raw)	-1864	meV per atom
crystal system	monoclinic
total DFT energy (no corrections)	-50.7	eV for the cell shown

```
data_Tb2Cl3
_chemical_formula_sum 'Tb4 Cl6'
_cell_length_a 7.7418
_cell_length_b 7.7418
_cell_length_c 10.1030
_cell_angle_alpha 117.43
_cell_angle_beta 117.43
_cell_angle_gamma 28.45
_space_group_name_H-M_alt 'P 1'
_space_group_IT_number 1
loop_
_space_group_symop_operation_xyz
'x,y,z'
loop_
_atom_site_label
_atom_site_fract_x
_atom_site_fract_y
_atom_site_fract_z
Tb1 0.0898 0.0898 0.4495
Tb2 0.3603 0.3603 0.2076
Tb3 0.6397 0.6397 0.7924
Tb4 0.9102 0.9102 0.5505
Cl1 0.1571 0.1571 0.0073
Cl2 0.2685 0.2685 0.3804
Cl3 0.4534 0.4534 0.7649
Cl4 0.5466 0.5466 0.2351
Cl5 0.7315 0.7315 0.6196
Cl6 0.8429 0.8429 0.9927
```

---

Record 3
Below is Zr4Co4Ge7 after structural relaxation, with properties calculated at the GGA-PBEsol level.

energy of formation	-0.714	eV/atom
crystal system	tetragonal
total DFT energy (no corrections)	-225.2	eV for the cell shown

```
data_Zr4Co4Ge7
_chemical_formula_sum 'Zr8 Co8 Ge14'
_cell_length_a 9.6127
_cell_length_b 9.6127
_cell_length_c 9.6127
_cell_angle_alpha 94.14
_cell_angle_beta 94.14
_cell_angle_gamma 148.82
_space_group_name_H-M_alt 'P 1'
_space_group_IT_number 1
loop_
_space_group_symop_operation_xyz
'x,y,z'
loop_
_atom_site_label
_atom_site_fract_x
_atom_site_fract_y
_atom_site_fract_z
Zr1 0.0000 0.1958 0.1958
Zr2 0.0000 0.8042 0.8042
Zr3 0.1958 0.0000 0.1958
Zr4 0.3611 0.3611 0.7223
Zr5 0.3611 0.6389 0.0000
Zr6 0.6389 0.3611 0.0000
Zr7 0.6389 0.6389 0.2777
Zr8 0.8042 0.0000 0.8042
Co1 0.1016 0.6016 0.2033
Co2 0.1016 0.8984 0.5000
Co3 0.3984 0.6016 0.5000
Co4 0.3984 0.8984 0.7967
Co5 0.6016 0.1016 0.2033
Co6 0.6016 0.3984 0.5000
Co7 0.8984 0.1016 0.5000
Co8 0.8984 0.3984 0.7967
Ge1 0.0000 0.4059 0.4059
Ge2 0.0000 0.5941 0.5941
Ge3 0.2063 0.5000 0.7063
Ge4 0.2081 0.2081 0.4161
Ge5 0.2081 0.7919 0.0000
Ge6 0.2508 0.2508 0.0000
Ge7 0.4059 0.0000 0.4059
Ge8 0.5000 0.2063 0.7063
Ge9 0.5000 0.7937 0.2937
Ge10 0.5941 0.0000 0.5941
Ge11 0.7492 0.7492 0.0000
Ge12 0.7919 0.2081 0.0000
Ge13 0.7919 0.7919 0.5839
Ge14 0.7937 0.5000 0.2937
```

---

Record 4
Below is La2CuAu after structural relaxation, with properties calculated at the GGA-PBEsol level.

energy of formation	-0.401	eV/atom
crystal system	tetragonal
total DFT energy (no corrections)	-20.6	eV for the cell shown

```
data_La2CuAu
_chemical_formula_sum 'La2 Cu1 Au1'
_cell_length_a 5.1426
_cell_length_b 5.1426
_cell_length_c 3.7072
_cell_angle_alpha 90.00
_cell_angle_beta 90.00
_cell_angle_gamma 90.00
_space_group_name_H-M_alt 'P 1'
_space_group_IT_number 1
loop_
_space_group_symop_operation_xyz
'x,y,z'
loop_
_atom_site_label
_atom_site_fract_x
_atom_site_fract_y
_atom_site_fract_z
La1 0.0000 0.5000 0.0000
La2 0.5000 0.0000 0.0000
Cu1 0.0000 0.0000 0.5000
Au1 0.5000 0.5000 0.5000
```

---

Record 5
Below is Li3Ni after structural relaxation, with properties calculated at the GGA-PBEsol level.

energy of formation	0.082	eV/atom
crystal system	hexagonal
total DFT energy (no corrections)	-11.7	eV for the cell shown

```
data_Li3Ni
_chemical_formula_sum 'Li3 Ni1'
_cell_length_a 2.6211
_cell_length_b 2.6211
_cell_length_c 9.1326
_cell_angle_alpha 90.00
_cell_angle_beta 90.00
_cell_angle_gamma 120.00
_space_group_name_H-M_alt 'P 1'
_space_group_IT_number 1
loop_
_space_group_symop_operation_xyz
'x,y,z'
loop_
_atom_site_label
_atom_site_fract_x
_atom_site_fract_y
_atom_site_fract_z
Li1 0.0000 0.0000 0.0000
Li2 0.6667 0.3333 0.2810
Li3 0.6667 0.3333 0.7190
Ni1 0.0000 0.0000 0.5000
```

---

Record 6
Below is AlCo3Pb after structural relaxation, with properties calculated at the GGA-PBEsol level.

energy of formation	1.696	eV/atom
crystal system	cubic
total DFT energy (no corrections)	-22.8	eV for the cell shown

```
data_AlCo3Pb
_chemical_formula_sum 'Al1 Co3 Pb1'
_cell_length_a 4.6515
_cell_length_b 4.6515
_cell_length_c 4.6515
_cell_angle_alpha 90.00
_cell_angle_beta 90.00
_cell_angle_gamma 90.00
_space_group_name_H-M_alt 'P 1'
_space_group_IT_number 1
loop_
_space_group_symop_operation_xyz
'x,y,z'
loop_
_atom_site_label
_atom_site_fract_x
_atom_site_fract_y
_atom_site_fract_z
Al1 0.0000 0.0000 0.0000
Co1 0.0000 0.5000 0.5000
Co2 0.5000 0.0000 0.5000
Co3 0.5000 0.5000 0.0000
Pb1 0.5000 0.5000 0.5000
```

---

Record 7
Below is TiCuBOs2 after structural relaxation, with properties calculated at the GGA-PBEsol level.

energy of formation	2.056	eV/atom
crystal system	tetragonal
total DFT energy (no corrections)	-33.8	eV for the cell shown

```
data_TiCuBOs2
_chemical_formula_sum 'Ti1 Cu1 B1 Os2'
_cell_length_a 4.5088
_cell_length_b 4.5088
_cell_length_c 3.9783
_cell_angle_alpha 90.00
_cell_angle_beta 90.00
_cell_angle_gamma 90.00
_space_group_name_H-M_alt 'P 1'
_space_group_IT_number 1
loop_
_space_group_symop_operation_xyz
'x,y,z'
loop_
_atom_site_label
_atom_site_fract_x
_atom_site_fract_y
_atom_site_fract_z
Ti1 0.0000 0.0000 0.0000
Cu1 0.5000 0.5000 0.5000
B1 0.0000 0.0000 0.5000
Os1 0.0000 0.5000 0.0000
Os2 0.5000 0.0000 0.0000
```

---

Record 8
Below is TcO2 after structural relaxation, with properties calculated at the GGA-PBEsol level.

E above lowest polymorph	0.000	eV/atom
ΔE_f (raw)	-1545	meV per atom
crystal system	monoclinic
total DFT energy (no corrections)	-105.6	eV for the cell shown

```
data_TcO2
_chemical_formula_sum 'Tc4 O8'
_cell_length_a 5.4355
_cell_length_b 4.7459
_cell_length_c 5.4982
_cell_angle_alpha 90.00
_cell_angle_beta 118.55
_cell_angle_gamma 90.00
_space_group_name_H-M_alt 'P 1'
_space_group_IT_number 1
loop_
_space_group_symop_operation_xyz
'x,y,z'
loop_
_atom_site_label
_atom_site_fract_x
_atom_site_fract_y
_atom_site_fract_z
Tc1 0.2349 0.0047 0.2198
Tc2 0.2349 0.4953 0.7198
Tc3 0.7651 0.5047 0.2802
Tc4 0.7651 0.9953 0.7802
O1 0.1087 0.7132 0.3760
O2 0.1087 0.7868 0.8760
O3 0.3931 0.1930 0.5875
O4 0.3931 0.3070 0.0875
O5 0.6069 0.6930 0.9125
O6 0.6069 0.8070 0.4125
O7 0.8913 0.2132 0.1240
O8 0.8913 0.2868 0.6240
```

---

Record 9
Below is TePt2SeI after structural relaxation, with properties calculated at the GGA-PBEsol level.

ΔE_f (raw)	1145	meV per atom
crystal system	tetragonal
total DFT energy (no corrections)	-17.3	eV for the cell shown

```
data_TePt2SeI
_chemical_formula_sum 'Te1 Pt2 Se1 I1'
_cell_length_a 4.8948
_cell_length_b 4.8948
_cell_length_c 5.4234
_cell_angle_alpha 90.00
_cell_angle_beta 90.00
_cell_angle_gamma 90.00
_space_group_name_H-M_alt 'P 1'
_space_group_IT_number 1
loop_
_space_group_symop_operation_xyz
'x,y,z'
loop_
_atom_site_label
_atom_site_fract_x
_atom_site_fract_y
_atom_site_fract_z
Te1 0.0000 0.0000 0.0000
Pt1 0.0000 0.5000 0.5000
Pt2 0.5000 0.0000 0.5000
Se1 0.5000 0.5000 0.0000
I1 0.5000 0.5000 0.5000
```

---

Record 10
Below is SrEuSeS after structural relaxation, with properties calculated at the GGA-PBEsol level.

ΔE_f (raw)	-2116	meV per atom
crystal system	trigonal
total DFT energy (no corrections)	-87.3	eV for the cell shown

```
data_SrEuSeS
_chemical_formula_sum 'Sr3 Eu3 Se3 S3'
_cell_length_a 4.2222
_cell_length_b 4.2222
_cell_length_c 20.7882
_cell_angle_alpha 90.00
_cell_angle_beta 90.00
_cell_angle_gamma 120.00
_space_group_name_H-M_alt 'P 1'
_space_group_IT_number 1
loop_
_space_group_symop_operation_xyz
'x,y,z'
loop_
_atom_site_label
_atom_site_fract_x
_atom_site_fract_y
_atom_site_fract_z
Sr1 0.0000 0.0000 0.0000
Sr2 0.3333 0.6667 0.6667
Sr3 0.6667 0.3333 0.3333
Eu1 0.0000 0.0000 0.4937
Eu2 0.3333 0.6667 0.1604
Eu3 0.6667 0.3333 0.8271
Se1 0.0000 0.0000 0.2442
Se2 0.3333 0.6667 0.9109
Se3 0.6667 0.3333 0.5776
S1 0.0000 0.0000 0.7499
S2 0.3333 0.6667 0.4166
S3 0.6667 0.3333 0.0833
```

---

Record 11
Below is MgGaAsBr2 after structural relaxation, with properties calculated at the GGA-PBEsol level.

ΔE_f (raw)	-174	meV per atom
crystal system	tetragonal
total DFT energy (no corrections)	-14.8	eV for the cell shown

```
data_MgGaAsBr2
_chemical_formula_sum 'Mg1 Ga1 As1 Br2'
_cell_length_a 5.2117
_cell_length_b 5.2117
_cell_length_c 5.2019
_cell_angle_alpha 90.00
_cell_angle_beta 90.00
_cell_angle_gamma 90.00
_space_group_name_H-M_alt 'P 1'
_space_group_IT_number 1
loop_
_space_group_symop_operation_xyz
'x,y,z'
loop_
_atom_site_label
_atom_site_fract_x
_atom_site_fract_y
_atom_site_fract_z
Mg1 0.0000 0.0000 0.0000
Ga1 0.5000 0.5000 0.5000
As1 0.0000 0.0000 0.5000
Br1 0.0000 0.5000 0.0000
Br2 0.5000 0.0000 0.0000
```

---

Record 12
Below is TaInGe3 after structural relaxation, with properties calculated at the GGA-PBEsol level.

energy of formation	0.355	eV/atom
crystal system	cubic
total DFT energy (no corrections)	-28.6	eV for the cell shown

```
data_TaInGe3
_chemical_formula_sum 'Ta1 In1 Ge3'
_cell_length_a 4.9944
_cell_length_b 4.9944
_cell_length_c 4.9944
_cell_angle_alpha 90.00
_cell_angle_beta 90.00
_cell_angle_gamma 90.00
_space_group_name_H-M_alt 'P 1'
_space_group_IT_number 1
loop_
_space_group_symop_operation_xyz
'x,y,z'
loop_
_atom_site_label
_atom_site_fract_x
_atom_site_fract_y
_atom_site_fract_z
Ta1 0.0000 0.0000 0.0000
In1 0.5000 0.5000 0.5000
Ge1 0.0000 0.0000 0.5000
Ge2 0.0000 0.5000 0.0000
Ge3 0.5000 0.0000 0.0000
```